No. 1
The following is a meta-GGA SCAN calculation of a PBEsol-optimized structure of FeCoRu2, from the Alexandria database.

The space group is Fm-3m (No. 225) and the conventional cell measures 5.7854, 5.7854 and 5.7854 Å, with angles of 90.00, 90.00 and 90.00 degrees. The inequivalent atoms are Fe at (0.0000, 0.0000, 0.0000), Co at (0.0000, 0.0000, 0.5000) and Ru at (0.2500, 0.2500, 0.2500).

The formation energy comes out at 0.6 eV per formula unit. As for the total magnetization: 5.3 μB/f.u. Its volume is 12.1 A^3/atom.


No. 2
The following is a meta-GGA SCAN calculation of a PBEsol-optimized structure of SnH2AuS, from the Alexandria database.

The space group is P4/mmm (No. 123) and the conventional cell measures 3.6723, 3.6723 and 5.4938 Å, with angles of 90.00, 90.00 and 90.00 degrees. The inequivalent atoms are Sn at (0.0000, 0.0000, 0.0000), H at (0.0000, 0.5000, 0.0000), Au at (0.0000, 0.0000, 0.5000) and S at (0.5000, 0.5000, 0.5000).

As for the total magnetization: 0.0 μB/f.u. The value obtained for the electronic total energy is -24.07 eV/atom. Its volume is 14.8 A^3/atom.